(1)
## Pu4Hf3N8 (PBE)

Data for a relaxed Pu4Hf3N8 crystal.

It has space group C2/m (No. 12), with a = 9.389 Å, b = 9.411 Å, c = 6.623 Å, α = 90.00°, β = 134.22° and γ = 90.00°. The inequivalent atoms are Pu at (0.000, 0.000, 0.000), Pu at (0.000, 0.500, 0.500), Pu at (0.250, 0.250, 0.000), Hf at (0.000, 0.000, 0.500), Hf at (0.250, 0.250, 0.500), N at (0.000, 0.239, 0.000), N at (0.000, 0.240, 0.500), N at (0.221, 0.000, 0.971) and N at (0.233, 0.000, 0.479).

Its total magnetization is 15.43 Bohr magnetons per cell. The value obtained for the total DFT energy (no corrections) is -11.53 eV per atom. The density of states at the Fermi level is 23.277 states/eV/f.u. Its formation energy without anion corrections is -1.28 eV per atom.

=====

(2)
## Eu2GePb (PBE)

Data for a relaxed Eu2GePb crystal.

It has space group P4/mmm (No. 123), with a = 3.549 Å, b = 3.549 Å, c = 9.014 Å, α = 90.00°, β = 90.00° and γ = 90.00°. The inequivalent atoms are Eu at (0.000, 0.000, 0.222), Ge at (0.500, 0.500, 0.000) and Pb at (0.500, 0.500, 0.500).

Its total magnetization is 13.82 Bohr magnetons per cell. The value obtained for the total DFT energy (no corrections) is -7.77 eV per atom. The density of states at the Fermi level is 9.207 states/eV/f.u. The value obtained for the formation energy is -212 kJ/mol of formula units.

=====

(3)
## Li2ScIn5 (PBE)

Data for a relaxed Li2ScIn5 crystal.

It has space group I4/mmm (No. 139), with a = 7.509 Å, b = 7.509 Å, c = 6.369 Å, α = 90.00°, β = 90.00° and γ = 90.00°. The inequivalent atoms are Li at (0.000, 0.500, 0.000), Sc at (0.000, 0.000, 0.000), In at (0.000, 0.000, 0.500) and In at (0.250, 0.250, 0.250).

Its total magnetization is 0.00 Bohr magnetons per cell. The value obtained for the total DFT energy (no corrections) is -3.23 eV per atom. The density of states at the Fermi level is 2.380 states/eV/f.u. The value obtained for the formation energy is -193 kJ/mol of formula units.

=====

(4)
## Ac5GaHg4 (PBE)

Data for a relaxed Ac5GaHg4 crystal.

It has space group P4/mmm (No. 123), with a = 4.015 Å, b = 4.015 Å, c = 20.175 Å, α = 90.00°, β = 90.00° and γ = 90.00°. The inequivalent atoms are Ac at (0.000, 0.000, 0.000), Ac at (0.000, 0.000, 0.203), Ac at (0.000, 0.000, 0.408), Ga at (0.500, 0.500, 0.500), Hg at (0.500, 0.500, 0.101) and Hg at (0.500, 0.500, 0.305).

Its total magnetization is 0.70 Bohr magnetons per cell. The value obtained for the total DFT energy (no corrections) is -2.95 eV per atom. The density of states at the Fermi level is 9.588 states/eV/f.u. The value obtained for the formation energy is -453 kJ/mol of formula units.

=====

(5)
## ThMg3Pt4 (PBE)

Data for a relaxed ThMg3Pt4 crystal.

It has space group Pmma (No. 51), with a = 9.324 Å, b = 6.569 Å, c = 4.837 Å, α = 90.00°, β = 90.00° and γ = 90.00°. The inequivalent atoms are Th at (0.000, 0.000, 0.000), Mg at (0.000, 0.500, 0.000), Mg at (0.250, 0.000, 0.482), Mg at (0.250, 0.500, 0.417), Pt at (0.000, 0.269, 0.500) and Pt at (0.250, 0.279, 0.911).

Its total magnetization is 0.00 Bohr magnetons per cell. The value obtained for the total DFT energy (no corrections) is -5.45 eV per atom. The density of states at the Fermi level is 3.218 states/eV/f.u. The value obtained for the formation energy is -699 kJ/mol of formula units.

=====

(6)
## PrMgAs2Pd5 (PBE)

Data for a relaxed PrMgAs2Pd5 crystal.

It has space group P4/mmm (No. 123), with a = 4.568 Å, b = 4.568 Å, c = 8.142 Å, α = 90.00°, β = 90.00° and γ = 90.00°. The inequivalent atoms are Pr at (0.000, 0.000, 0.000), Mg at (0.000, 0.000, 0.500), As at (0.500, 0.500, 0.347), Pd at (0.000, 0.500, 0.241) and Pd at (0.500, 0.500, 0.000).

Its total magnetization is 0.00 Bohr magnetons per cell. The value obtained for the total DFT energy (no corrections) is -5.19 eV per atom. The density of states at the Fermi level is 3.553 states/eV/f.u. The value obtained for the formation energy is -490 kJ/mol of formula units.

=====

(7)
## ZrIr3 (PBE)

Data for a relaxed ZrIr3 crystal.

It has space group I4/mmm (No. 139), with a = 3.987 Å, b = 3.987 Å, c = 15.978 Å, α = 90.00°, β = 90.00° and γ = 90.00°. The inequivalent atoms are Zr at (0.000, 0.000, 0.123), Ir at (0.000, 0.000, 0.374), Ir at (0.000, 0.500, 0.000) and Ir at (0.000, 0.500, 0.250).

Its total magnetization is 0.00 Bohr magnetons per cell. The value obtained for the total DFT energy (no corrections) is -9.42 eV per atom. The density of states at the Fermi level is 2.751 states/eV/f.u. The value obtained for the formation energy is -248 kJ/mol of formula units.

=====

(8)
## CrAuBr2 (PBE)

Data for a relaxed CrAuBr2 crystal.

It has space group R3m (No. 160, hexagonal axes), with a = 3.7166 Å, b = 3.7166 Å, c = 24.8853 Å, α = 90.00°, β = 90.00° and γ = 120.00°. The inequivalent atoms are Cr at (0.0000, 0.0000, 0.0000), Au at (0.0000, 0.0000, 0.2715), Br at (0.0000, 0.0000, 0.5339) and Br at (0.0000, 0.0000, 0.7247).

The distance to the lowest polymorph of the same formula comes out at 0 meV/atom. Its total magnetization is 9.05 Bohr magnetons per cell. The value obtained for the total DFT energy (no corrections) is -4.28 eV per atom. Its formation energy without anion corrections is -0.22 eV per atom.

=====

(9)
## PrTh2Sb3 (PBE)

Data for a relaxed PrTh2Sb3 crystal.

It has space group C2/m (No. 12), with a = 17.324 Å, b = 4.495 Å, c = 10.973 Å, α = 90.00°, β = 108.14° and γ = 90.00°. The inequivalent atoms are Pr at (0.000, 0.000, 0.000), Pr at (0.000, 0.500, 0.500), Th at (0.166, 0.000, 0.831), Th at (0.166, 0.500, 0.331), Sb at (0.029, 0.000, 0.305), Sb at (0.141, 0.500, 0.027) and Sb at (0.196, 0.500, 0.639).

The distance to the lowest polymorph of the same formula comes out at 115 meV/atom. Its total magnetization is 0.00 Bohr magnetons per cell. The value obtained for the total DFT energy (no corrections) is -6.23 eV per atom. The density of states at the Fermi level is 2.785 states/eV/f.u. Its formation energy without anion corrections is -0.90 eV per atom.

=====

(10)
## BaMgVCu2 (PBE)

Data for a relaxed BaMgVCu2 crystal.

It has space group P4/mmm (No. 123), with a = 4.980 Å, b = 4.980 Å, c = 5.190 Å, α = 90.00°, β = 90.00° and γ = 90.00°. The inequivalent atoms are Ba at (0.000, 0.000, 0.000), Mg at (0.500, 0.500, 0.000), V at (0.500, 0.500, 0.500) and Cu at (0.000, 0.500, 0.500).

Its total magnetization is 3.68 Bohr magnetons per cell. The value obtained for the total DFT energy (no corrections) is -3.60 eV per atom. The density of states at the Fermi level is 5.261 states/eV/f.u. The value obtained for the formation energy is 274 kJ/mol of formula units.

=====

(11)
## KTi3Ga (PBE)

Data for a relaxed KTi3Ga crystal.

It has space group Pm-3m (No. 221), with a = 4.512 Å, b = 4.512 Å, c = 4.512 Å, α = 90.00°, β = 90.00° and γ = 90.00°. The inequivalent atoms are K at (0.000, 0.000, 0.000), Ti at (0.000, 0.000, 0.500) and Ga at (0.500, 0.500, 0.500).

The distance to the lowest polymorph of the same formula comes out at 913 meV/atom. Its total magnetization is 2.02 Bohr magnetons per cell. The value obtained for the total DFT energy (no corrections) is -3.73 eV per atom. The density of states at the Fermi level is 3.274 states/eV/f.u. The value obtained for the formation energy is 883 kJ/mol of formula units.

=====

(12)
## AlTeS3 (PBE)

Data for a relaxed AlTeS3 crystal.

It has space group P-6c2 (No. 188), with a = 6.4266 Å, b = 6.4266 Å, c = 6.4497 Å, α = 90.00°, β = 90.00° and γ = 120.00°. The inequivalent atoms are Al at (0.0000, 0.0000, 0.0000), Te at (0.6667, 0.3333, 0.0000) and S at (0.2968, 0.0063, 0.2500).

The distance to the lowest polymorph of the same formula comes out at 277 meV/atom. Its total magnetization is 0.00 Bohr magnetons per cell. The value obtained for the total DFT energy (no corrections) is -4.04 eV per atom. The density of states at the Fermi level is 2.714 states/eV/f.u. Its formation energy without anion corrections is -0.19 eV per atom.